Record 1
Compound: Sr2Hf2Ru
Source: Alexandria
Functional: PBE
Structure: relaxed

Unit cell a=3.9367 b=3.9367 c=16.8104 alpha=90.00 beta=90.00 gamma=90.00
With the nearest neighbours (Å) after each atom.
Space group I4/mmm (No. 139)
Asymmetric unit:
1 Sr 0.0000 0.5000 0.2500  4 Sr 2.78
2 Hf 0.0000 0.0000 0.0768  1 Hf 2.58
3 Ru 0.0000 0.0000 0.5000  8 Hf 3.07

Results
**Total magnetization**: 0.0 μB/f.u.
**ΔE to the lowest computed polymorph**: 989 meV/atom
**Calculated total energy**: -5.2619 eV/atom

Record 2
Compound: Sr2Hf2Ru
Source: Alexandria
Functional: PBE
Structure: relaxed

Unit cell a=6.8451 b=6.8451 c=5.9966 alpha=90.00 beta=90.00 gamma=90.00
With the nearest neighbours (Å) after each atom.
Space group P4/mbm (No. 127)
Asymmetric unit:
1 Sr 0.1826 0.3174 0.0000  2 Hf 3.36, 5 Sr 3.54
2 Hf 0.1598 0.6598 0.5000  2 Ru 2.57
3 Ru 0.0000 0.0000 0.5000  4 Hf 2.57

Results
**Total magnetization**: 1.3 μB/f.u.
**ΔE to the lowest computed polymorph**: 0 meV/atom
**Calculated total energy**: -6.2507 eV/atom

Record 3
Compound: SrHf2Ru2
Source: Alexandria
Functional: PBE
Structure: relaxed

Unit cell a=4.4259 b=4.4259 c=11.5671 alpha=90.00 beta=90.00 gamma=90.00
With the nearest neighbours (Å) after each atom.
Space group I4/mmm (No. 139)
Asymmetric unit:
1 Sr 0.0000 0.0000 0.0000  8 Ru 3.41, 8 Hf 3.64
2 Hf 0.0000 0.5000 0.2500  4 Ru 2.70
3 Ru 0.0000 0.0000 0.3839  1 Ru 2.69, 4 Hf 2.70

Results
**Total magnetization**: 0.0 μB/f.u.
**ΔE to the lowest computed polymorph**: 0 meV/atom
**Calculated total energy**: -8.3023 eV/atom

Record 4
Compound: Sr2HfRu
Source: Alexandria
Functional: PBE
Structure: relaxed

Unit cell a=11.5517 b=11.5517 c=4.8271 alpha=90.00 beta=90.00 gamma=90.00
With the nearest neighbours (Å) after each atom.
Space group I-42d (No. 122)
Asymmetric unit:
1 Sr 0.0893 0.2500 0.1250  2 Ru 3.13
2 Hf 0.0000 0.0000 0.5000  2 Ru 2.41
3 Ru 0.0000 0.0000 0.0000  2 Hf 2.41

Results
**Total magnetization**: 0.0 μB/f.u.
**ΔE to the lowest computed polymorph**: 0 meV/atom
**Calculated total energy**: -5.1429 eV/atom

Record 5
Compound: SrHf2Ru2
Source: Alexandria
Functional: PBE
Structure: relaxed

Unit cell a=8.0381 b=8.0381 c=3.2078 alpha=90.00 beta=90.00 gamma=90.00
With the nearest neighbours (Å) after each atom.
Space group P4/mbm (No. 127)
Asymmetric unit:
1 Sr 0.0000 0.0000 0.0000  4 Ru 3.09, 2 Sr 3.21
2 Hf 0.1386 0.3614 0.5000  6 Ru 2.78-2.95
3 Ru 0.1434 0.6434 0.0000  6 Hf 2.78-2.95, 2 Sr 3.09

Results
**Total magnetization**: 0.0 μB/f.u.
**ΔE to the lowest computed polymorph**: 75 meV/atom
**Calculated total energy**: -8.2269 eV/atom

Record 6
Compound: SrHfRu2
Source: Alexandria
Functional: PBE
Structure: relaxed

Unit cell a=6.7413 b=6.7413 c=6.7413 alpha=90.00 beta=90.00 gamma=90.00
With the nearest neighbours (Å) after each atom.
Space group Fm-3m (No. 225)
Asymmetric unit:
1 Sr 0.0000 0.0000 0.0000  8 Ru 2.92
2 Hf 0.0000 0.0000 0.5000  8 Ru 2.92
3 Ru 0.2500 0.2500 0.2500  4 Hf 2.92, 4 Sr 2.92

Results
**Total magnetization**: 0.0 μB/f.u.
**ΔE to the lowest computed polymorph**: 0 meV/atom
**Calculated total energy**: -7.3808 eV/atom

Record 7
Compound: SrHfRu2
Source: Alexandria
Functional: PBE
Structure: relaxed

Unit cell a=4.9906 b=4.9906 c=17.5379 alpha=90.00 beta=90.00 gamma=90.00
With the nearest neighbours (Å) after each atom.
Space group I-42d (No. 122)
Asymmetric unit:
1 Sr 0.0000 0.0000 0.0000  8 Ru 3.49-3.61, 4 Hf 3.53
2 Hf 0.0000 0.0000 0.5000  4 Ru 2.52
3 Ru 0.0174 0.2500 0.6250  2 Ru 2.50, 2 Hf 2.52

Results
**Total magnetization**: 0.0 μB/f.u.
**ΔE to the lowest computed polymorph**: 406 meV/atom
**Calculated total energy**: -6.9753 eV/atom

Record 8
Compound: Sr2HfRuW
Source: Alexandria
Functional: PBE
Structure: relaxed

Unit cell a=5.6161 b=5.6161 c=4.9077 alpha=90.00 beta=90.00 gamma=90.00
With the nearest neighbours (Å) after each atom.
Space group P4/mmm (No. 123)
Asymmetric unit:
1 Sr 0.0000 0.5000 0.0000  2 Ru 2.81
2 Hf 0.0000 0.0000 0.5000  2 Ru 2.45
3 Ru 0.0000 0.0000 0.0000  2 Hf 2.45
4 W 0.5000 0.5000 0.5000  8 Sr 3.73, 4 Hf 3.97

Results
**Total magnetization**: 3.8 μB/f.u.
**Calculated total energy**: -5.7962 eV/atom

Number 1: energy of formation 1.247 eV per atom. Number 2: energy of formation 0.259 eV per atom. Number 3: energy of formation -0.274 eV per atom. Number 4: energy of formation 0.505 eV per atom. Number 5: energy of formation -0.199 eV per atom. Number 6: energy of formation 0.166 eV per atom. Number 7: energy of formation 0.571 eV per atom. Number 8: energy of formation 1.313 eV per atom.